(1)
DFT (PBE) results for SrPdPbO4 after structural relaxation.

Properties
symmetry: Imma (74)
energy relative to the elements, uncorrected: -1.257 eV per atom

abc: 7.2127 7.2127 7.2127
angles: 127.93 125.85 78.44
Closest atoms and distances in Å follow each position.
Element x y z (fractional)
Sr: 0.4135 0.1635 0.2500  4 O 2.33-2.46
Sr: 0.5865 0.8365 0.7500  4 O 2.33-2.46
Pd: 0.0000 0.0000 0.5000  4 O 2.10
Pd: 0.0000 0.5000 0.0000  4 O 2.10
Pb: 0.0000 0.5000 0.5000  6 O 2.19-2.33
Pb: 0.5000 0.5000 0.0000  6 O 2.19-2.33
O: 0.1540 0.7063 0.4476  2 Pd 2.10, 1 Pb 2.33
O: 0.2413 0.2937 0.9476  2 Pd 2.10, 1 Pb 2.33
O: 0.2761 0.3029 0.5268  2 Pb 2.19, 1 Sr 2.33
O: 0.2761 0.7494 0.9732  2 Pb 2.19, 1 Sr 2.33
O: 0.7239 0.2506 0.0268  2 Pb 2.19, 1 Sr 2.33
O: 0.7239 0.6971 0.4732  2 Pb 2.19, 1 Sr 2.33
O: 0.7587 0.7063 0.0524  2 Pd 2.10, 1 Pb 2.33
O: 0.8460 0.2937 0.5524  2 Pd 2.10, 1 Pb 2.33

=====

(2)
DFT (PBE) results for TaBeCr2 after structural relaxation.

Properties
symmetry: P4mm (99)
calculated total energy: -34.63 eV for the cell shown

abc: 2.9062 2.9062 6.0237
angles: 90.00 90.00 90.00
Closest atoms and distances in Å follow each position.
Element x y z (fractional)
Ta: 0.0000 0.0000 0.0000  4 Be 2.66, 5 Cr 2.74-2.96, 4 Ta 2.91
Be: 0.5000 0.5000 0.2813  5 Cr 2.41-2.52, 4 Ta 2.66
Cr: 0.0000 0.0000 0.4906  4 Cr 2.41, 4 Be 2.41
Cr: 0.5000 0.5000 0.6994  4 Cr 2.41, 1 Be 2.52

=====

(3)
DFT (PBE) results for Cu2AgCl after structural relaxation.

Properties
symmetry: F-43m (216)
energy relative to the elements, uncorrected: 0.404 eV per atom

abc: 6.3851 6.3851 6.3851
angles: 90.00 90.00 90.00
Closest atoms and distances in Å follow each position.
Element x y z (fractional)
Cu: 0.0000 0.0000 0.0000  4 Cu 2.76, 4 Ag 2.76
Cu: 0.0000 0.5000 0.5000  4 Cu 2.76, 4 Ag 2.76
Cu: 0.2500 0.2500 0.2500  4 Cl 2.76, 4 Cu 2.76
Cu: 0.2500 0.7500 0.7500  4 Cl 2.76, 4 Cu 2.76
Cu: 0.5000 0.0000 0.5000  4 Cu 2.76, 4 Ag 2.76
Cu: 0.5000 0.5000 0.0000  4 Cu 2.76, 4 Ag 2.76
Cu: 0.7500 0.2500 0.7500  4 Cl 2.76, 4 Cu 2.76
Cu: 0.7500 0.7500 0.2500  4 Cl 2.76, 4 Cu 2.76
Ag: 0.2500 0.2500 0.7500  4 Cl 2.76, 4 Cu 2.76
Ag: 0.2500 0.7500 0.2500  4 Cl 2.76, 4 Cu 2.76
Ag: 0.7500 0.2500 0.2500  4 Cl 2.76, 4 Cu 2.76
Ag: 0.7500 0.7500 0.7500  4 Cu 2.76, 4 Cl 2.76
Cl: 0.0000 0.0000 0.5000  4 Ag 2.76, 4 Cu 2.76
Cl: 0.0000 0.5000 0.0000  4 Ag 2.76, 4 Cu 2.76
Cl: 0.5000 0.0000 0.0000  4 Ag 2.76, 4 Cu 2.76
Cl: 0.5000 0.5000 0.5000  4 Ag 2.76, 4 Cu 2.76

=====

(4)
DFT (PBE) results for MgSiB2Ru after structural relaxation.

Properties
symmetry: P4/mmm (123)
energy relative to the elements, uncorrected: 0.649 eV per atom

abc: 4.0446 4.0446 4.8535
angles: 90.00 90.00 90.00
Closest atoms and distances in Å follow each position.
Element x y z (fractional)
Mg: 0.0000 0.0000 0.0000  4 Si 2.86, 8 B 3.16
Si: 0.5000 0.5000 0.0000  2 Ru 2.43
B: 0.0000 0.5000 0.5000  2 Ru 2.02
B: 0.5000 0.0000 0.5000  2 Ru 2.02
Ru: 0.5000 0.5000 0.5000  4 B 2.02